1.
Entry from the Alexandria database: a relaxed CaTa3Rh crystal (GGA-PBE).

Properties
Energy relative to the lowest polymorph listed for this composition (eV per formula unit): 0.00

Lattice parameters (Å, degrees): 4.9133 4.9133 4.9133 90.00 90.00 90.00
Sites, in units of the cell vectors:
Ca 0.0000 0.0000 0.0000
Ta 0.0000 0.5000 0.5000
Ta 0.5000 0.0000 0.5000
Ta 0.5000 0.5000 0.0000
Rh 0.5000 0.5000 0.5000


2.
Entry from the Alexandria database: a relaxed Ca4TaRh crystal (GGA-PBE).

Lattice parameters (Å, degrees): 6.1556 6.1556 6.1556 60.00 60.00 60.00
Sites, in units of the cell vectors:
Ca 0.1248 0.1248 0.1248
Ca 0.1248 0.1248 0.6257
Ca 0.1248 0.6257 0.1248
Ca 0.6257 0.1248 0.1248
Ta 0.5000 0.5000 0.5000
Rh 0.7500 0.7500 0.7500


3.
Entry from the Alexandria database: a relaxed CaTa2Rh crystal (GGA-PBE).

Properties
Energy relative to the lowest polymorph listed for this composition (eV per formula unit): 1.69

Lattice parameters (Å, degrees): 2.9036 4.7274 5.5195 90.00 90.00 90.00
Sites, in units of the cell vectors:
Ca 0.0000 0.0000 0.0000
Ta 0.5000 0.5000 0.2615
Ta 0.5000 0.5000 0.7385
Rh 0.0000 0.0000 0.5000


4.
Entry from the Alexandria database: a relaxed Ca2TaRh crystal (GGA-PBE).

Properties
Energy relative to the lowest polymorph listed for this composition (eV per formula unit): 0.59

Lattice parameters (Å, degrees): 6.0838 6.0838 6.0838 146.29 128.05 63.37
Sites, in units of the cell vectors:
Ca 0.0000 0.0000 0.0000
Ca 0.7079 0.2079 0.5000
Ta 0.4084 0.4084 0.0000
Rh 0.2425 0.7425 0.5000


Energy relative to the elements for the records above, in order: 0.935; 1.097; 0.415; 0.108 eV/atom
DOS(E_F) for the records above, in order: 0.5467; 1.1577; 1.0175; 0.9268 states/eV/atom